# CaYZr2

An optimized crystal structure of CaYZr2 (GGA-PBE, Alexandria via LeMat-Bulk).

- Density of states at the Fermi level: 5.9 states/eV/f.u.
- Total magnetic moment: 2.59 μB/cell
- SG: No. 122
- Crystal system: tetragonal
- Raw total energy: -5.645 eV/atom
- Formation energy: 0.75 eV/atom

a b c (Å): 6.781 6.781 6.781
angles (deg): 102.48 102.48 124.60
Atoms (fractional coordinates):
Ca  0.000  0.000  0.000
Ca  0.750  0.250  0.500
Y  0.250  0.750  0.500
Y  0.500  0.500  0.000
Zr  0.124  0.625  0.999
Zr  0.375  0.374  0.499
Zr  0.626  0.125  0.001
Zr  0.875  0.876  0.501